Record 1
Here is a geometry-optimized TbCdRh2 structure from Alexandria. Energies are from PBE.

Results
* energy of formation: -596 meV per atom

Cell: 3.6186 4.4800 4.4800 Å, 90.00 90.00 90.00°
With the nearest neighbours (Å) after each atom.
Sites, in units of the cell vectors:
Tb (0.5000, 0.5000, 0.5000)  8 Rh 2.88, 4 Cd 3.17
Cd (0.5000, 0.0000, 0.0000)  8 Rh 2.88, 4 Tb 3.17
Rh (0.0000, 0.5000, 0.0000)  4 Tb 2.88, 4 Cd 2.88, 4 Rh 3.17
Rh (0.0000, 0.0000, 0.5000)  4 Tb 2.88, 4 Cd 2.88, 4 Rh 3.17


Record 2
Here is a geometry-optimized TbThCdRh structure from Alexandria. Energies are from PBE.

Results
* energy of formation: -387 meV per atom

Cell: 5.1684 5.1684 5.1684 Å, 60.00 60.00 60.00°
With the nearest neighbours (Å) after each atom.
Sites, in units of the cell vectors:
Tb (0.7500, 0.7500, 0.7500)  4 Rh 3.16, 4 Cd 3.16
Th (0.2500, 0.2500, 0.2500)  4 Cd 3.16, 4 Rh 3.16
Cd (0.0000, 0.0000, 0.0000)  4 Tb 3.16, 4 Th 3.16
Rh (0.5000, 0.5000, 0.5000)  4 Th 3.16, 4 Tb 3.16


no.,V (Å³/atom),energy (eV per atom)
1,18.2,-5.66
2,24.4,-5.47